[1]
DFT (PBE) results for crystalline LiUPd2S4 at its relaxed geometry.

Computed properties:
Total magnetization (μB/cell): 1.8
Space group: I-42m
Formation energy from raw total energies (meV per atom): -821

abc: 6.5436 5.7300 5.7300
angles: 69.65 55.18 55.18
Fractional positions:
S: 0.4106 0.5893 0.9963
S: 0.5894 0.0037 0.4107
Pd: 0.2504 0.2496 0.2496
U: 0.5000 0.5000 0.5000
Li: 0.0000 0.0000 0.0000
S: 0.9962 0.4107 0.0037
S: 0.0038 0.9963 0.5893
Pd: 0.7496 0.7504 0.7504

***

[2]
DFT (PBE) results for crystalline Li3U3PdS8 at its relaxed geometry.

Computed properties:
Total magnetization (μB/cell): 6.1
Space group: C2/m
Formation energy from raw total energies (meV per atom): -1199

abc: 7.5449 7.5380 7.6325
angles: 119.61 90.00 120.03
Fractional positions:
S: 0.2467 0.4934 0.7448
S: 0.2498 0.0018 0.2541
U: 0.5000 0.0000 0.5000
U: 0.5000 0.5000 0.5000
Li: 0.0000 0.5000 0.0000
Li: 0.0000 0.0000 0.0000
S: 0.2457 0.4914 0.2376
S: 0.7502 0.9982 0.7459
S: 0.7533 0.5066 0.2552
S: 0.2480 0.9982 0.7459
U: 0.0000 0.5000 0.5000
Li: 0.5000 0.5000 0.0000
S: 0.7520 0.0018 0.2541
S: 0.7543 0.5086 0.7624
Pd: 0.0000 0.0000 0.5000

***

[3]
DFT (PBE) results for crystalline LiUPdS3 at its relaxed geometry.

Computed properties:
Total magnetization (μB/cell): 2.0
Space group: P2_1/m
Formation energy from raw total energies (meV per atom): -1074

abc: 3.6614 7.4087 8.4108
angles: 104.50 90.00 90.00
Fractional positions:
S: 0.2500 0.0737 0.8734
S: 0.7500 0.4085 0.1527
S: 0.2500 0.7212 0.5025
Pd: 0.2500 0.1180 0.6011
S: 0.7500 0.9263 0.1266
Li: 0.7500 0.3438 0.8433
S: 0.2500 0.5915 0.8473
S: 0.7500 0.2788 0.4975
U: 0.7500 0.8059 0.7517
U: 0.2500 0.1941 0.2483
Li: 0.2500 0.6562 0.1567
Pd: 0.7500 0.8820 0.3989

***

[4]
DFT (PBE) results for crystalline Li3U2PdS6 at its relaxed geometry.

Computed properties:
Total magnetization (μB/cell): 3.0
Space group: C2/m
Formation energy from raw total energies (meV per atom): -1204

abc: 6.5202 6.5202 6.5845
angles: 99.58 99.58 119.77
Fractional positions:
U: 0.3330 0.6670 0.0000
Li: 0.8394 0.1606 0.5000
Pd: 0.0000 0.0000 0.0000
U: 0.6670 0.3330 0.0000
S: 0.9154 0.5738 0.7479
Li: 0.1606 0.8394 0.5000
S: 0.5738 0.9154 0.7479
S: 0.7422 0.7422 0.2553
S: 0.4262 0.0846 0.2521
S: 0.0846 0.4262 0.2521
S: 0.2578 0.2578 0.7447
Li: 0.5000 0.5000 0.5000